[1]
Compound: ErPa2Co
Source: Alexandria via LeMat-Bulk
Functional: PBE
Structure: relaxed

Cell lengths 9.1322, 9.1322, 9.1322 Å; angles 22.23, 22.23, 22.23 degrees
Element x y z (fractional)
Er (0.0000, 0.0000, 0.0000)
Pa (0.2296, 0.2296, 0.2296)
Pa (0.7704, 0.7704, 0.7704)
Co (0.5000, 0.5000, 0.5000)

Summary:
E_form, eV/f.u.: -0.02

[2]
Compound: Hf3PaN
Source: Alexandria via LeMat-Bulk
Functional: PBE
Structure: relaxed

Cell lengths 4.5629, 4.5629, 4.5629 Å; angles 90.00, 90.00, 90.00 degrees
Element x y z (fractional)
Hf (0.0000, 0.0000, 0.5000)
Hf (0.0000, 0.5000, 0.0000)
Hf (0.5000, 0.0000, 0.0000)
Pa (0.5000, 0.5000, 0.5000)
N (0.0000, 0.0000, 0.0000)

Summary:
Formation energy without anion corrections, eV per atom: -0.471

[3]
Compound: PuV4Mo
Source: Alexandria via LeMat-Bulk
Functional: PBE
Structure: relaxed

Cell lengths 5.0946, 5.0946, 5.0946 Å; angles 60.00, 60.00, 60.00 degrees
Element x y z (fractional)
Pu (0.0000, 0.0000, 0.0000)
V (0.1260, 0.6247, 0.6247)
V (0.6247, 0.1260, 0.6247)
V (0.6247, 0.6247, 0.1260)
V (0.6247, 0.6247, 0.6247)
Mo (0.2500, 0.2500, 0.2500)

Summary:
E_form, eV/f.u.: 1.62